SrMnF3 after structural relaxation, computed with PBE+U.

Cell and atoms, written as CIF:
```
data_SrMnF3
_symmetry_space_group_name_H-M 'P 1'
_symmetry_Int_Tables_number 1
_cell_length_a 4.745
_cell_length_b 4.745
_cell_length_c 4.745
_cell_angle_alpha 90.00
_cell_angle_beta 90.00
_cell_angle_gamma 90.00
loop_
_symmetry_equiv_pos_as_xyz
'x,y,z'
loop_
_atom_site_label
_atom_site_fract_x
_atom_site_fract_y
_atom_site_fract_z
F1 0.000 0.500 0.000
F2 0.500 0.000 0.000
F3 0.000 0.000 0.500
Sr1 0.000 0.000 0.000
Mn1 0.500 0.500 0.500
```

## Properties
Distance to the lowest polymorph of the same formula (meV/atom): 44
Calculated volume (Å³ per atom): 21.36
Space group: Pm-3m, No. 221
DOS at the Fermi energy (states/eV per atom): 0.000
E (eV/atom): -5.45